{"formula": "SrCrGa2O6", "functional": "GGA+U", "state": "relaxed", "final_energy_ev_per_cell": -129.2, "dos_at_fermi_per_ev_cell": 0.00, "sg": "No. 15", "lattice_angstrom": [[4.490, -5.691, 0.000], [4.490, 5.691, 0.000], [-2.676, 0.000, 5.603]], "species": ["Sr", "Sr", "Cr", "Cr", "Ga", "Ga", "Ga", "Ga", "O", "O", "O", "O", "O", "O", "O", "O", "O", "O", "O", "O"], "frac_coords": [[0.107, 0.893, 0.750], [0.893, 0.107, 0.250], [0.197, 0.803, 0.250], [0.803, 0.197, 0.750], [0.294, 0.448, 0.841], [0.448, 0.294, 0.341], [0.552, 0.706, 0.659], [0.706, 0.552, 0.159], [0.042, 0.219, 0.700], [0.174, 0.643, 0.962], [0.219, 0.042, 0.200], [0.323, 0.431, 0.536], [0.357, 0.826, 0.538], [0.431, 0.323, 0.036], [0.569, 0.677, 0.964], [0.643, 0.174, 0.462], [0.677, 0.569, 0.464], [0.781, 0.958, 0.800], [0.826, 0.357, 0.038], [0.958, 0.781, 0.300]]}